# LiScV2O6

A relaxed LiScV2O6 crystal (PBE+U, Alexandria).

abc: 10.081 9.216 5.437
angles: 90.00 101.31 90.00
Space group C2/c (No. 15)
Unique sites:
Li 0.000 0.224 0.250 [4 per cell]
Sc 0.000 0.402 0.750 [4 per cell]
V 0.201 0.095 0.784 [8 per cell]
O 0.113 0.419 0.122 [8 per cell]
O 0.117 0.245 0.621 [8 per cell]
O 0.145 0.065 0.083 [8 per cell]

Magnetization in μB per formula unit: 2.00
Final energy in eV/atom: -7.6270